Entry from Alexandria via LeMat-Bulk: a relaxed structure of CaYEr4S8 (PBE).

Structure (POSCAR):
```
CaYEr4S8
1.0
8.031 0.000 0.000
4.015 6.955 0.000
4.015 2.318 6.576
S Er Y Ca
8 4 1 1
direct
0.228 0.756 0.260 S
0.239 0.239 0.283 S
0.758 0.758 0.726 S
0.756 0.756 0.260 S
0.241 0.782 0.736 S
0.241 0.241 0.736 S
0.782 0.241 0.736 S
0.756 0.228 0.260 S
0.002 0.494 0.502 Er
0.625 0.625 0.124 Er
0.494 0.002 0.502 Er
0.002 0.002 0.502 Er
0.002 0.002 0.994 Y
0.375 0.375 0.876 Ca
```

Properties
ρ = 4.77 g/cm³
density of states at the Fermi level = 3.2 states/eV/cell
total DFT energy (no corrections) = -6.2672 eV/atom
space-group type = No. 160